Run i
VASP calculation (GGA-PBE) on a relaxed HfPBr3 crystal.

```
HfPBr3
1.0
5.1478 0.0000 0.0000
0.0000 5.1478 0.0000
0.0000 0.0000 5.1478
Br Hf P
3 1 1
direct
0.0000 0.5000 0.0000
0.5000 0.0000 0.0000
0.0000 0.0000 0.5000
0.5000 0.5000 0.5000
0.0000 0.0000 0.0000
```

## Properties
Space-group type: No. 221
Fermi-level density of states, states/eV/cell: 8.0
Theoretical density, Mg/m³: 5.5


Run ii
VASP calculation (GGA-PBE) on a relaxed HfPBr3 crystal.

```
HfPBr3
1.0
5.3040 0.0000 0.0000
0.0000 5.3040 0.0000
0.0000 0.0000 5.3040
P Br Hf
1 3 1
direct
0.5000 0.5000 0.5000
0.0000 0.5000 0.0000
0.0000 0.0000 0.5000
0.5000 0.0000 0.0000
0.0000 0.0000 0.0000
```

## Properties
Space-group type: No. 221
Fermi-level density of states, states/eV/cell: 2.2
Theoretical density, Mg/m³: 5.0


The relative energies come out as run i 827; run ii 0, with values in meV/atom.


Run i
VASP calculation (GGA-PBE) on a relaxed HfPSeBr2 crystal.

```
HfPSeBr2
1.0
-1.6211 -3.3959 3.1454
3.1928 -3.2333 -1.8453
3.4988 1.5010 3.4237
Hf Br P Se
1 2 1 1
direct
0.5000 0.5000 0.5000
0.5000 0.0000 0.0000
0.0000 0.5000 0.0000
0.0000 0.0000 0.0000
0.0000 0.0000 0.5000
```

## Properties
Space-group type: No. 123
Fermi-level density of states, states/eV/cell: 4.6
Theoretical density, Mg/m³: 6.0


Run ii
VASP calculation (GGA-PBE) on a relaxed HfPSeBr2 crystal.

```
HfPSeBr2
1.0
5.3724 0.0000 0.0000
0.0000 5.3724 0.0000
0.0000 0.0000 5.1319
Br P Se Hf
2 1 1 1
direct
0.0000 0.5000 0.0000
0.5000 0.0000 0.0000
0.5000 0.5000 0.5000
0.0000 0.0000 0.5000
0.0000 0.0000 0.0000
```

## Properties
Space-group type: No. 123
Fermi-level density of states, states/eV/cell: 1.2
Theoretical density, Mg/m³: 5.0


The relative energies come out as run i 683; run ii 0, with values in meV/atom.


Run i
VASP calculation (GGA-PBE) on a relaxed HfPbBr2 crystal.

```
HfPbBr2
1.0
0.0000 3.6338 3.6338
3.6338 0.0000 3.6338
3.6338 3.6338 0.0000
Br Hf Pb
2 1 1
direct
0.7500 0.7500 0.7500
0.2500 0.2500 0.2500
0.0000 0.0000 0.0000
0.5000 0.5000 0.5000
```

## Properties
Space-group type: No. 225
Fermi-level density of states, states/eV/cell: 3.2
Theoretical density, Mg/m³: 9.4


Run ii
VASP calculation (GGA-PBE) on a relaxed HfPbBr2 crystal.

```
HfPbBr2
1.0
-6.3011 8.6091 5.3778
-4.0095 10.5867 3.8193
-6.8038 9.5817 2.1540
Br Hf Pb
2 1 1
direct
0.1121 0.1121 0.1121
0.8879 0.8879 0.8879
0.5000 0.5000 0.5000
0.0000 0.0000 0.0000
```

## Properties
Space-group type: No. 166
Fermi-level density of states, states/eV/cell: 0.2
Theoretical density, Mg/m³: 7.7


Run iii
VASP calculation (GGA-PBE) on a relaxed HfPbBr2 crystal.

```
HfPbBr2
1.0
-3.8715 8.0914 1.9972
-3.3631 -3.5317 7.7888
-1.1475 3.1060 6.3340
Br Hf Pb
4 2 2
direct
0.8750 0.7539 0.7500
0.3750 0.4961 0.7500
0.2461 0.6250 0.2500
0.5039 0.1250 0.2500
0.5000 0.5000 0.0000
0.2500 0.7500 0.5000
0.7500 0.2500 0.5000
0.0000 0.0000 0.0000
```

## Properties
Space-group type: No. 122
Fermi-level density of states, states/eV/cell: 5.1
Theoretical density, Mg/m³: 7.2


The relative energies come out as run i 772; run ii 0; run iii 392, with values in meV/atom.


Run i
VASP calculation (GGA-PBE) on a relaxed HfPbBr3 crystal.

```
HfPbBr3
1.0
-1.2056 -0.9445 5.6782
5.6318 -1.3932 0.9640
1.1903 5.6351 1.1901
Br Hf Pb
3 1 1
direct
0.0000 0.5000 0.0000
0.0000 0.0000 0.5000
0.5000 0.0000 0.0000
0.5000 0.5000 0.5000
0.0000 0.0000 0.0000
```

## Properties
Space-group type: No. 221
Fermi-level density of states, states/eV/cell: 14.7
Theoretical density, Mg/m³: 5.1


Run ii
VASP calculation (GGA-PBE) on a relaxed HfPbBr3 crystal.

```
HfPbBr3
1.0
-4.1649 -2.4098 -2.2191
-0.4629 -3.1204 4.2575
-3.2430 3.5403 2.2421
Br Pb Hf
3 1 1
direct
0.0000 0.5000 0.0000
0.0000 0.0000 0.5000
0.5000 0.0000 0.0000
0.5000 0.5000 0.5000
0.0000 0.0000 0.0000
```

## Properties
Space-group type: No. 221
Fermi-level density of states, states/eV/cell: 4.2
Theoretical density, Mg/m³: 7.0


The relative energies come out as run i 705; run ii 0, with values in meV/atom.


Run i
VASP calculation (GGA-PBE) on a relaxed HfPdBr2 crystal.

```
HfPdBr2
1.0
1.9427 0.0000 8.9567
-0.9713 1.6824 8.9567
-0.9713 -1.6824 8.9567
Pd Hf Br
1 1 2
direct
0.0000 0.0000 0.0000
0.5000 0.5000 0.5000
0.0941 0.0941 0.0941
0.9059 0.9059 0.9059
```

## Properties
Space-group type: No. 166
Fermi-level density of states, states/eV/cell: 1.7
Theoretical density, Mg/m³: 8.4


Run ii
VASP calculation (GGA-PBE) on a relaxed HfPdBr2 crystal.

```
HfPdBr2
1.0
-0.0451 -3.9047 2.7698
-3.1129 -0.3295 3.6224
-3.6584 -3.0771 -0.2600
Br Pd Hf
2 1 1
direct
0.7500 0.7500 0.7500
0.2500 0.2500 0.2500
0.0000 0.0000 0.0000
0.5000 0.5000 0.5000
```

## Properties
Space-group type: No. 225
Fermi-level density of states, states/eV/cell: 1.8
Theoretical density, Mg/m³: 9.5


The relative energies come out as run i 0; run ii 347, with values in meV/atom.


Run i
VASP calculation (GGA-PBE) on a relaxed HfPdSeBr2 crystal.

```
HfPdSeBr2
1.0
-4.2633 -2.3912 1.9543
2.7009 -4.5024 0.3829
1.4558 1.2761 4.7371
Hf Br Pd Se
1 2 1 1
direct
0.0000 0.0000 0.0000
0.0000 0.5000 0.0000
0.5000 0.0000 0.0000
0.5000 0.5000 0.5000
0.0000 0.0000 0.5000
```

## Properties
Space-group type: No. 123
Fermi-level density of states, states/eV/cell: 9.0
Theoretical density, Mg/m³: 6.1


Run ii
VASP calculation (GGA-PBE) on a relaxed HfPdSeBr2 crystal.

```
HfPdSeBr2
1.0
-4.9013 0.2240 0.6609
0.2254 -3.9291 3.0034
0.6819 3.1015 4.0063
Pd Se Br Hf
1 1 2 1
direct
0.0000 0.0000 0.0000
0.0000 0.0000 0.5000
0.5000 0.0000 0.0000
0.0000 0.5000 0.0000
0.5000 0.5000 0.5000
```

## Properties
Space-group type: No. 123
Fermi-level density of states, states/eV/cell: 5.0
Theoretical density, Mg/m³: 6.9


The relative energies come out as run i 0; run ii 609, with values in meV/atom.